[1]
AcPrSm: relaxed, PBE.

The formation energy is 0.113 eV per atom. The value obtained for the energy above the lowest structure with this stoichiometry is 79 meV/atom.

It has space group P6_3mc (No. 186), with a = 3.7422 Å, b = 3.7422 Å, c = 19.2976 Å, α = 90.00°, β = 90.00° and γ = 120.00°. Symmetry generates all atoms from Ac at (0.3333, 0.6667, 0.0000), Pr at (0.3333, 0.6667, 0.8105) and Sm at (0.0000, 0.0000, 0.1603).

[2]
TbHfSc2: relaxed, PBE.

The formation energy is 0.049 eV per atom. The value obtained for the energy above the lowest structure with this stoichiometry is 0 meV/atom.

It has space group C2/m (No. 12), with a = 15.333 Å, b = 3.279 Å, c = 8.228 Å, α = 90.00°, β = 95.61° and γ = 90.00°. Symmetry generates all atoms from Tb at (0.149, 0.000, 0.436), Hf at (0.090, 0.000, 0.059), Sc at (0.040, 0.500, 0.734) and Sc at (0.235, 0.000, 0.831).

[3]
Al3TlH: relaxed, PBE.

It has space group Pm-3m (No. 221), with a = 4.364 Å, b = 4.364 Å, c = 4.364 Å, α = 90.00°, β = 90.00° and γ = 90.00°. Symmetry generates all atoms from Al at (0.000, 0.000, 0.500), Tl at (0.500, 0.500, 0.500) and H at (0.000, 0.000, 0.000).

[4]
Pr12Tl3Sn: relaxed, PBE.

The formation energy is -0.274 eV per atom.

It has space group P4/mmm (No. 123), with a = 5.022 Å, b = 5.022 Å, c = 20.092 Å, α = 90.00°, β = 90.00° and γ = 90.00°. Symmetry generates all atoms from Pr at (0.000, 0.000, 0.000), Pr at (0.000, 0.000, 0.249), Pr at (0.000, 0.000, 0.500), Pr at (0.000, 0.500, 0.123), Pr at (0.000, 0.500, 0.374), Tl at (0.500, 0.500, 0.249), Tl at (0.500, 0.500, 0.500) and Sn at (0.500, 0.500, 0.000).

[5]
PaMn4Nb: relaxed, PBE.

The formation energy is 0.003 eV per atom.

It has space group F-43m (No. 216), with a = 7.070 Å, b = 7.070 Å, c = 7.070 Å, α = 90.00°, β = 90.00° and γ = 90.00°. Symmetry generates all atoms from Pa at (0.000, 0.000, 0.000), Mn at (0.125, 0.125, 0.375) and Nb at (0.250, 0.250, 0.750).

[6]
Rb3Bi5Br12: relaxed, PBE.

The value obtained for the formation energy (no corrections) is -0.6851 eV/atom.

It has space group Ia-3d (No. 230), with a = 19.513 Å, b = 19.513 Å, c = 19.513 Å, α = 90.00°, β = 90.00° and γ = 90.00°. Symmetry generates all atoms from Rb at (0.000, 0.250, 0.125), Bi at (0.000, 0.000, 0.000), Bi at (0.000, 0.250, 0.375) and Br at (0.032, 0.048, 0.643).

[7]
VPdSe4: relaxed, PBE.

The value obtained for the formation energy (no corrections) is -0.4142 eV/atom. The value obtained for the energy above the lowest structure with this stoichiometry is 28 meV/atom.

It has space group C2/m (No. 12), with a = 13.090 Å, b = 3.543 Å, c = 6.348 Å, α = 90.00°, β = 118.67° and γ = 90.00°. Symmetry generates all atoms from V at (0.000, 0.000, 0.000), Pd at (0.000, 0.500, 0.500), Se at (0.125, 0.500, 0.956) and Se at (0.126, 0.000, 0.448).

[8]
NbCuNi: relaxed, PBE.

The formation energy is 0.349 eV per atom. The value obtained for the energy above the lowest structure with this stoichiometry is 460 meV/atom.

It has space group Fddd (No. 70, origin choice 2), with a = 6.782 Å, b = 8.120 Å, c = 12.964 Å, α = 90.00°, β = 90.00° and γ = 90.00°. Symmetry generates all atoms from Nb at (0.000, 0.000, 0.000), Cu at (0.125, 0.263, 0.625) and Ni at (0.125, 0.125, 0.463).

[9]
LaYGe: relaxed, PBE.

The formation energy is -0.575 eV per atom. The value obtained for the energy above the lowest structure with this stoichiometry is 86 meV/atom.

It has space group C2/m (No. 12), with a = 7.571 Å, b = 13.218 Å, c = 4.194 Å, α = 90.00°, β = 123.60° and γ = 90.00°. Symmetry generates all atoms from La at (0.233, 0.000, 0.231), Y at (0.000, 0.296, 0.000) and Ge at (0.000, 0.145, 0.500).

[10]
Zr2MnMo: relaxed, PBE.

The formation energy is 0.192 eV per atom. The value obtained for the energy above the lowest structure with this stoichiometry is 172 meV/atom.

It has space group P2/m (No. 10), with a = 2.933 Å, b = 4.441 Å, c = 5.776 Å, α = 90.00°, β = 100.46° and γ = 90.00°. Symmetry generates all atoms from Zr at (0.203, 0.000, 0.254), Mn at (0.500, 0.500, 0.000) and Mo at (0.000, 0.500, 0.500).

Summary of magnetic moment in μB per formula unit
0.00 0.00 0.00 0.00 6.14 0.00 1.04 0.00 0.66 2.61
(order as listed above)
Summary of final energy in eV/cell
-26.537 -108.202 -15.187 -72.844 -224.907 -448.672 -61.470 -302.410 -70.933 -36.329
(order as listed above)